Density functional theory data (PBE+U) for a geometry-optimized HfCrS2F structure.

Crystal system ... tetragonal
N(E_F) ... 0.6084 states/eV per atom
VASP energy ... -6.43 eV/atom
Magnetization ... 4.479 Bohr magnetons per cell

Lattice parameters (Å, degrees): 4.825 4.825 3.688 90.00 90.00 90.00
Fractional positions:
Hf: 0.000 0.000 0.000
Cr: 0.500 0.500 0.500
S: 0.000 0.500 0.500
S: 0.500 0.000 0.500
F: 0.500 0.500 0.000